The following is a DFT calculation (PBE) of a relaxed LaPr3Sn2 crystal.

Computed properties:
- V (Å³ per cell) = 198
- M_tot (Bohr magnetons per cell) = 0.00
- theoretical density (g/cm³) = 6.70
- energy relative to the elements (meV/atom) = -573

abc: 4.7016 4.7016 8.9549
angles: 90.00 90.00 90.00
Closest atoms and distances in Å follow each position.
Fractional coordinates of all 6 atoms:
La  0.0000  0.0000  0.0000  4 Pr 3.32, 4 Sn 3.44
Pr  0.0000  0.5000  0.3539  5 Sn 3.28-3.39
Pr  0.5000  0.0000  0.6461  5 Sn 3.28-3.39
Pr  0.5000  0.5000  0.0000  4 La 3.32, 4 Sn 3.44
Sn  0.0000  0.5000  0.7202  7 Pr 3.28-3.44, 2 La 3.44
Sn  0.5000  0.0000  0.2798  7 Pr 3.28-3.44, 2 La 3.44

***

The following is a DFT calculation (PBE) of a relaxed LaPr6Sn4 crystal.

Computed properties:
- V (Å³ per cell) = 409
- M_tot (Bohr magnetons per cell) = 0.01
- theoretical density (g/cm³) = 5.93
- energy relative to the elements (meV/atom) = -395

abc: 8.3763 8.3763 8.3763
angles: 121.06 121.06 88.18
Closest atoms and distances in Å follow each position.
Fractional coordinates of all 11 atoms:
La  0.0000  0.0000  0.0000  4 Sn 3.42
Pr  0.0000  0.5000  0.5000  4 Sn 3.16
Pr  0.1772  0.4902  0.0000  4 Sn 3.16-3.30
Pr  0.4902  0.1772  0.0000  4 Sn 3.16-3.30
Pr  0.5000  0.0000  0.5000  4 Sn 3.16
Pr  0.5098  0.5098  0.6870  4 Sn 3.16-3.30
Pr  0.8228  0.8228  0.3130  4 Sn 3.16-3.30
Sn  0.1772  0.1772  0.5501  6 Pr 3.16-3.30, 1 La 3.42
Sn  0.3729  0.8228  0.0000  6 Pr 3.16-3.30, 1 La 3.42
Sn  0.6271  0.6271  0.4499  6 Pr 3.16-3.30, 1 La 3.42
Sn  0.8228  0.3729  0.0000  6 Pr 3.16-3.30, 1 La 3.42

***

The following is a DFT calculation (PBE) of a relaxed LaPrSn crystal.

Computed properties:
- V (Å³ per cell) = 96
- M_tot (Bohr magnetons per cell) = 0.00
- theoretical density (g/cm³) = 6.90
- energy relative to the elements (meV/atom) = -409

abc: 5.2613 5.2613 3.9985
angles: 90.00 90.00 120.00
Closest atoms and distances in Å follow each position.
Fractional coordinates of all 3 atoms:
La  0.0000  0.0000  0.0000  3 Sn 3.31, 3 Pr 3.46
Pr  0.6667  0.3333  0.5881  3 Sn 3.21, 3 La 3.46
Sn  0.3333  0.6667  0.3257  3 Pr 3.21, 3 La 3.31

***

The following is a DFT calculation (PBE) of a relaxed LaPr2Sn crystal.

Computed properties:
- V (Å³ per cell) = 125
- M_tot (Bohr magnetons per cell) = 0.00
- theoretical density (g/cm³) = 7.15
- energy relative to the elements (meV/atom) = -273

abc: 5.6163 5.6163 5.6163
angles: 60.00 60.00 60.00
Closest atoms and distances in Å follow each position.
Fractional coordinates of all 4 atoms:
La  0.0000  0.0000  0.0000  8 Pr 3.44
Pr  0.2500  0.2500  0.2500  4 Sn 3.44, 4 La 3.44
Pr  0.7500  0.7500  0.7500  4 Sn 3.44, 4 La 3.44
Sn  0.5000  0.5000  0.5000  8 Pr 3.44

***

The following is a DFT calculation (PBE) of a relaxed La6Pr3Sn crystal.

Computed properties:
- V (Å³ per cell) = 701
- M_tot (Bohr magnetons per cell) = 0.00
- theoretical density (g/cm³) = 6.51
- energy relative to the elements (meV/atom) = -148

abc: 9.8373 5.8736 12.8676
angles: 90.00 109.46 90.00
Closest atoms and distances in Å follow each position.
Fractional coordinates of all 20 atoms:
La  0.0372  0.2500  0.1874  3 La 3.37-3.73, 2 Sn 3.52, 3 Pr 3.54-3.57
La  0.1681  0.2500  0.9762  2 La 3.37-3.43, 3 Sn 3.44-3.54, 3 Pr 3.73-3.76
La  0.2025  0.7500  0.6411  7 Pr 3.60-3.79, 5 La 3.65-3.79
La  0.3866  0.7500  0.4249  4 Pr 3.51-3.80, 1 Sn 3.55, 6 La 3.78-3.92
La  0.3981  0.2500  0.7821  5 Pr 3.43-3.77, 4 La 3.62-3.65, 1 Sn 3.72
La  0.3995  0.2500  0.2429  7 La 3.39-3.78, 2 Sn 3.54, 1 Pr 3.71
La  0.6005  0.7500  0.7571  7 La 3.39-3.78, 2 Sn 3.54, 1 Pr 3.71
La  0.6019  0.7500  0.2179  5 Pr 3.43-3.77, 4 La 3.62-3.65, 1 Sn 3.72
La  0.6134  0.2500  0.5751  4 Pr 3.51-3.80, 1 Sn 3.55, 6 La 3.78-3.92
La  0.7975  0.2500  0.3589  7 Pr 3.60-3.79, 5 La 3.65-3.79
La  0.8319  0.7500  0.0238  2 La 3.37-3.43, 3 Sn 3.44-3.54, 3 Pr 3.73-3.76
La  0.9628  0.7500  0.8126  3 La 3.37-3.73, 2 Sn 3.52, 3 Pr 3.54-3.57
Pr  0.0078  0.7500  0.3321  8 La 3.51-3.79, 1 Sn 3.63, 3 Pr 3.67-3.68
Pr  0.2034  0.2500  0.4798  8 La 3.57-3.80, 3 Pr 3.67-3.68
Pr  0.3865  0.7500  0.9461  7 La 3.43-3.73, 1 Sn 3.50, 2 Pr 3.67
Pr  0.6135  0.2500  0.0539  7 La 3.43-3.73, 1 Sn 3.50, 2 Pr 3.67
Pr  0.7966  0.7500  0.5202  8 La 3.57-3.80, 3 Pr 3.67-3.68
Pr  0.9922  0.2500  0.6679  8 La 3.51-3.79, 1 Sn 3.63, 3 Pr 3.67-3.68
Sn  0.2018  0.7500  0.1362  9 La 3.44-3.72, 2 Pr 3.50-3.63
Sn  0.7982  0.2500  0.8638  9 La 3.44-3.72, 2 Pr 3.50-3.63

***

The following is a DFT calculation (PBE) of a relaxed LaPr2Sn3 crystal.

Computed properties:
- V (Å³ per cell) = 198
- M_tot (Bohr magnetons per cell) = 0.00
- theoretical density (g/cm³) = 6.50
- energy relative to the elements (meV/atom) = -601

abc: 7.0941 7.0941 7.0941
angles: 135.65 125.63 72.69
Closest atoms and distances in Å follow each position.
Fractional coordinates of all 6 atoms:
La  0.0000  0.0000  0.0000  6 Sn 3.24-3.34
Pr  0.3350  0.3350  0.0000  6 Sn 3.24-3.27
Pr  0.6650  0.6650  0.0000  6 Sn 3.24-3.27
Sn  0.1749  0.6749  0.5000  4 Pr 3.24, 2 La 3.34
Sn  0.5000  0.0000  0.5000  2 La 3.24, 4 Pr 3.27
Sn  0.8251  0.3251  0.5000  4 Pr 3.24, 2 La 3.34

***

The following is a DFT calculation (PBE) of a relaxed La4PrSn3 crystal.

Computed properties:
- V (Å³ per cell) = 516
- M_tot (Bohr magnetons per cell) = 1.46
- theoretical density (g/cm³) = 6.78
- energy relative to the elements (meV/atom) = -712

abc: 9.5697 9.5697 9.5697
angles: 96.26 96.26 141.44
Closest atoms and distances in Å follow each position.
Fractional coordinates of all 16 atoms:
La  0.0864  0.7808  0.8672  6 Sn 3.34-3.64, 1 La 3.51
La  0.2192  0.0864  0.3055  6 Sn 3.34-3.64, 1 La 3.51
La  0.2808  0.5864  0.8672  6 Sn 3.34-3.64, 1 La 3.51
La  0.4136  0.2808  0.6945  6 Sn 3.34-3.64, 1 La 3.51
La  0.5864  0.7192  0.3055  6 Sn 3.34-3.64, 1 La 3.51
La  0.7192  0.4136  0.1328  6 Sn 3.34-3.64, 1 La 3.51
La  0.7808  0.9136  0.6945  6 Sn 3.34-3.64, 1 La 3.51
La  0.9136  0.2192  0.1328  6 Sn 3.34-3.64, 1 La 3.51
Pr  0.2500  0.7500  0.5000  2 Pr 3.16, 4 Sn 3.28
Pr  0.7500  0.2500  0.5000  2 Pr 3.16, 4 Sn 3.28
Sn  0.1593  0.3407  0.5000  2 Pr 3.28, 8 La 3.34-3.64
Sn  0.2500  0.2500  0.0000  2 Sn 3.16, 8 La 3.40
Sn  0.3407  0.8407  0.1814  2 Pr 3.28, 8 La 3.34-3.64
Sn  0.6593  0.1593  0.8186  2 Pr 3.28, 8 La 3.34-3.64
Sn  0.7500  0.7500  0.0000  2 Sn 3.16, 8 La 3.40
Sn  0.8407  0.6593  0.5000  2 Pr 3.28, 8 La 3.34-3.64

***

The following is a DFT calculation (PBE) of a relaxed LaPr3Sn3 crystal.

Computed properties:
- V (Å³ per cell) = 511
- M_tot (Bohr magnetons per cell) = 0.00
- theoretical density (g/cm³) = 5.97
- energy relative to the elements (meV/atom) = -504

abc: 9.7131 9.7131 6.2492
angles: 90.00 90.00 120.00
Closest atoms and distances in Å follow each position.
Fractional coordinates of all 14 atoms:
La  0.3333  0.6667  0.2500  3 Sn 3.26, 3 Pr 3.44
La  0.6667  0.3333  0.7500  3 Sn 3.26, 3 Pr 3.44
Pr  0.0084  0.3097  0.7500  4 Sn 3.07-3.26, 1 La 3.44
Pr  0.3014  0.9916  0.7500  4 Sn 3.07-3.26, 1 La 3.44
Pr  0.3097  0.3014  0.2500  4 Sn 3.07-3.26, 1 La 3.44
Pr  0.6903  0.6986  0.7500  4 Sn 3.07-3.26, 1 La 3.44
Pr  0.6986  0.0084  0.2500  4 Sn 3.07-3.26, 1 La 3.44
Pr  0.9916  0.6903  0.2500  4 Sn 3.07-3.26, 1 La 3.44
Sn  0.0184  0.6499  0.7500  4 Pr 3.07-3.26, 1 La 3.26
Sn  0.3501  0.3685  0.7500  4 Pr 3.07-3.26, 1 La 3.26
Sn  0.3685  0.0184  0.2500  4 Pr 3.07-3.26, 1 La 3.26
Sn  0.6315  0.9816  0.7500  4 Pr 3.07-3.26, 1 La 3.26
Sn  0.6499  0.6315  0.2500  4 Pr 3.07-3.26, 1 La 3.26
Sn  0.9816  0.3501  0.2500  4 Pr 3.07-3.26, 1 La 3.26

***

Question: The highest energy relative to the elements belongs to which entry?
Answer: La6Pr3Sn